Entry 1:
{
  "formula": "CePuHgPt",
  "functional": "GGA-PBE",
  "state": "optimized geometry",
  "cell": [[3.597, 0.000, 0.000], [0.000, 3.597, 0.000], [0.000, 0.000, 7.659]],
  "species": ["Ce", "Pu", "Hg", "Pt"],
  "fractional_positions": [[0.000, 0.000, 0.000], [0.000, 0.000, 0.564], [0.500, 0.500, 0.287], [0.500, 0.500, 0.793]],
  "de_polymorph_ev_per_atom": 0.000,
  "total_energy_ev_per_cell": -28.84,
  "rho_g_cm3": 13.07
}


Entry 2:
{
  "formula": "SrCa3Tb2Te6",
  "functional": "GGA-PBE",
  "state": "optimized geometry",
  "cell": [[3.886, -6.728, 0.000], [3.886, 6.728, 0.000], [-2.592, 0.000, 7.352]],
  "species": ["Sr", "Ca", "Ca", "Ca", "Tb", "Tb", "Te", "Te", "Te", "Te", "Te", "Te"],
  "fractional_positions": [[0.000, 0.000, 0.000], [0.163, 0.837, 0.500], [0.500, 0.500, 0.500], [0.837, 0.163, 0.500], [0.333, 0.667, 0.000], [0.667, 0.333, 0.000], [0.084, 0.428, 0.251], [0.262, 0.262, 0.751], [0.428, 0.084, 0.251], [0.572, 0.916, 0.749], [0.738, 0.738, 0.249], [0.916, 0.572, 0.749]],
  "e_form_raw_ev_per_atom": -1.527,
  "total_energy_ev_per_cell": -54.12,
  "rho_g_cm3": 5.58
}


Entry 3:
{
  "formula": "LaNd6Al",
  "functional": "GGA-PBE",
  "state": "optimized geometry",
  "cell": [[5.001, 0.000, 0.000], [0.000, 5.001, 0.000], [0.000, 0.000, 10.411]],
  "species": ["La", "Nd", "Nd", "Nd", "Nd", "Nd", "Nd", "Al"],
  "fractional_positions": [[0.000, 0.000, 0.000], [0.000, 0.500, 0.266], [0.000, 0.500, 0.734], [0.500, 0.000, 0.266], [0.500, 0.000, 0.734], [0.500, 0.500, 0.000], [0.500, 0.500, 0.500], [0.000, 0.000, 0.500]],
  "total_energy_ev_per_cell": -37.68,
  "rho_g_cm3": 6.58
}


Entry 4:
{
  "formula": "CeVI2",
  "functional": "GGA-PBE",
  "state": "optimized geometry",
  "cell": [[4.020, 0.000, 0.000], [-2.010, 3.481, 0.000], [0.000, 0.000, 24.551]],
  "species": ["Ce", "Ce", "Ce", "V", "V", "V", "I", "I", "I", "I", "I", "I"],
  "fractional_positions": [[0.000, 0.000, 0.000], [0.333, 0.667, 0.667], [0.667, 0.333, 0.333], [0.000, 0.000, 0.500], [0.333, 0.667, 0.167], [0.667, 0.333, 0.833], [0.000, 0.000, 0.237], [0.000, 0.000, 0.763], [0.333, 0.667, 0.430], [0.333, 0.667, 0.904], [0.667, 0.333, 0.096], [0.667, 0.333, 0.570]],
  "e_form_raw_ev_per_atom": -0.058,
  "total_energy_ev_per_cell": -55.15,
  "rho_g_cm3": 6.45
}


Entry 5:
{
  "formula": "Li2CaIO4",
  "functional": "GGA-PBE",
  "state": "optimized geometry",
  "cell": [[10.017, 0.000, 0.000], [0.000, 4.714, 0.000], [-2.130, 0.000, 4.360]],
  "species": ["Li", "Li", "Li", "Li", "Ca", "Ca", "I", "I", "O", "O", "O", "O", "O", "O", "O", "O"],
  "fractional_positions": [[0.000, 0.000, 0.000], [0.227, 0.500, 0.208], [0.500, 0.500, 0.000], [0.727, 0.000, 0.208], [0.007, 0.500, 0.535], [0.507, 0.000, 0.535], [0.261, 0.000, 0.806], [0.761, 0.500, 0.806], [0.033, 0.000, 0.596], [0.250, 0.000, 0.206], [0.265, 0.500, 0.829], [0.499, 0.000, 0.041], [0.533, 0.500, 0.596], [0.750, 0.500, 0.206], [0.765, 0.000, 0.829], [0.999, 0.500, 0.041]],
  "e_form_raw_ev_per_atom": -1.500,
  "total_energy_ev_per_cell": -78.43,
  "rho_g_cm3": 3.95
}


Entry 6:
{
  "formula": "BaCr2P",
  "functional": "GGA-PBE",
  "state": "optimized geometry",
  "cell": [[4.083, 0.000, 0.000], [-2.041, 3.536, 0.000], [0.000, 0.000, 17.986]],
  "species": ["Ba", "Ba", "Ba", "Cr", "Cr", "Cr", "Cr", "Cr", "Cr", "P", "P", "P"],
  "fractional_positions": [[0.000, 0.000, 0.000], [0.333, 0.667, 0.667], [0.667, 0.333, 0.333], [0.000, 0.000, 0.178], [0.000, 0.000, 0.822], [0.333, 0.667, 0.489], [0.333, 0.667, 0.845], [0.667, 0.333, 0.155], [0.667, 0.333, 0.511], [0.000, 0.000, 0.500], [0.333, 0.667, 0.167], [0.667, 0.333, 0.833]],
  "total_energy_ev_per_cell": -80.04,
  "rho_g_cm3": 5.22
}


Entry 7:
{
  "formula": "Cd2Ga2SnAu7",
  "functional": "GGA-PBE",
  "state": "optimized geometry",
  "cell": [[2.816, -2.992, 0.000], [2.816, 2.992, 0.000], [-1.515, 0.000, 15.409]],
  "species": ["Cd", "Cd", "Ga", "Ga", "Sn", "Au", "Au", "Au", "Au", "Au", "Au", "Au"],
  "fractional_positions": [[0.104, 0.104, 0.407], [0.896, 0.896, 0.593], [0.394, 0.394, 0.738], [0.606, 0.606, 0.262], [0.000, 0.000, 0.000], [0.070, 0.564, 0.154], [0.391, 0.391, 0.578], [0.436, 0.930, 0.846], [0.500, 0.500, 0.000], [0.564, 0.070, 0.154], [0.609, 0.609, 0.422], [0.930, 0.436, 0.846]],
  "total_energy_ev_per_cell": -35.71,
  "rho_g_cm3": 11.90
}


Entry 8:
{
  "formula": "Ta2VHRh",
  "functional": "GGA-PBE",
  "state": "optimized geometry",
  "cell": [[4.372, 0.000, 0.000], [0.000, 4.372, 0.000], [0.000, 0.000, 3.450]],
  "species": ["Ta", "Ta", "V", "H", "Rh"],
  "fractional_positions": [[0.000, 0.500, 0.000], [0.500, 0.000, 0.000], [0.000, 0.000, 0.500], [0.000, 0.000, 0.000], [0.500, 0.500, 0.500]],
  "de_polymorph_ev_per_atom": 0.000,
  "total_energy_ev_per_cell": -44.47,
  "rho_g_cm3": 13.01
}